# Ba2NaIn

Crystalline Ba2NaIn at its relaxed geometry (GGA-PBE, Alexandria via LeMat-Bulk).

Computed properties:
Its density of states at the Fermi level is 15.91 states/eV per cell. The value obtained for the energy of formation from the pure elements is 0.231 eV/atom.

abc: 4.0484 4.0484 41.8821
angles: 90.00 90.00 120.00
Space group R-3m (No. 166, hexagonal axes)
Unique sites:
1 Ba 0.0000 0.0000 0.0853 [6 per cell]
2 Na 0.0000 0.0000 0.5000 [3 per cell]
3 In 0.0000 0.0000 0.0000 [3 per cell]